TmPuS3 PBE-GGA optimized geometry; total DFT energy (no corrections) = -7.853 eV/atom; DOS at the Fermi energy = 1.481 states/eV/atom
1.0
-2.654 5.259 4.038
2.654 -5.259 4.038
2.654 5.259 -4.038
Tm Pu S
2 2 6
direct
0.301 0.051 0.250
0.699 0.949 0.750
0.000 0.500 0.500
0.500 0.500 0.000
0.099 0.161 0.939
0.278 0.839 0.439
0.355 0.605 0.750
0.645 0.395 0.250
0.722 0.161 0.561
0.901 0.839 0.061

Al4SiSe PBE-GGA optimized geometry; total DFT energy (no corrections) = -3.644 eV/atom; DOS at the Fermi energy = 0.378 states/eV/atom
1.0
0.000 3.799 3.799
3.799 0.000 3.799
3.799 3.799 0.000
Al Si Se
4 1 1
direct
0.376 0.376 0.376
0.376 0.376 0.872
0.376 0.872 0.376
0.872 0.376 0.376
0.750 0.750 0.750
0.000 0.000 0.000

RbBiOF2 PBE-GGA optimized geometry; total DFT energy (no corrections) = -3.268 eV/atom; DOS at the Fermi energy = 0.589 states/eV/atom
1.0
4.856 0.000 0.000
0.000 4.856 0.000
0.000 0.000 4.370
Rb Bi O F
1 1 1 2
direct
0.000 0.000 0.000
0.500 0.500 0.500
0.000 0.000 0.500
0.000 0.500 0.000
0.500 0.000 0.000

PHOsN PBE-GGA optimized geometry; total DFT energy (no corrections) = -6.977 eV/atom; DOS at the Fermi energy = 0.556 states/eV/atom
1.0
5.134 -1.365 0.000
5.134 1.365 0.000
-0.841 0.000 2.818
P H Os N
1 1 1 1
direct
0.000 0.000 0.000
0.290 0.290 0.785
0.818 0.818 0.318
0.600 0.600 0.099

BaSmMg2Cd4 PBE-GGA optimized geometry; total DFT energy (no corrections) = -1.943 eV/atom; DOS at the Fermi energy = 0.476 states/eV/atom; energy relative to the elements = -0.26 eV/atom
1.0
2.639 1.523 8.906
-2.639 1.523 8.906
0.000 -3.047 8.906
Ba Sm Mg Cd
1 1 2 4
direct
0.000 0.000 0.000
0.500 0.500 0.500
0.245 0.245 0.245
0.755 0.755 0.755
0.128 0.128 0.128
0.383 0.383 0.383
0.617 0.617 0.617
0.872 0.872 0.872

Sm3YEr7 PBE-GGA optimized geometry; total DFT energy (no corrections) = -4.625 eV/atom; DOS at the Fermi energy = 1.650 states/eV/atom; energy relative to the elements = 0.15 eV/atom
1.0
6.939 0.000 0.000
0.000 5.489 0.000
-3.431 0.000 9.339
Sm Y Er
3 1 7
direct
0.000 0.000 0.000
0.282 0.500 0.498
0.718 0.500 0.502
0.500 0.000 0.000
0.000 0.000 0.500
0.147 0.500 0.789
0.320 0.500 0.139
0.419 0.000 0.330
0.581 0.000 0.670
0.680 0.500 0.861
0.853 0.500 0.211

SmThTeRu PBE-GGA optimized geometry; total DFT energy (no corrections) = -6.938 eV/atom; DOS at the Fermi energy = 0.710 states/eV/atom
1.0
2.080 1.201 7.585
-2.080 1.201 7.585
0.000 -2.401 7.585
Sm Th Te Ru
1 1 1 1
direct
0.000 0.000 0.000
0.803 0.803 0.803
0.238 0.238 0.238
0.408 0.408 0.408

NiP3 PBE-GGA optimized geometry; total DFT energy (no corrections) = -5.282 eV/atom; DOS at the Fermi energy = 0.359 states/eV/atom; energy relative to the elements = 0.22 eV/atom
1.0
2.457 0.000 0.000
0.000 2.457 0.000
0.000 0.000 10.526
Ni P
1 3
direct
0.000 0.000 0.000
0.000 0.000 0.500
0.500 0.500 0.166
0.500 0.500 0.834